This record from the Open Quantum Materials Database describes an optimized crystal structure of NdY2O3. The functional is PBE.

Values from the calculation:
energy = -8.202 eV/atom
total magnetization = 0.012 μB/cell
space group = P-3m1, No. 164

a = 3.4433 Å, b = 3.4433 Å, c = 8.5162 Å
α = 90.00°, β = 90.00°, γ = 120.00°
Fractional coordinates of all 6 atoms:
Nd1 0.0000 0.0000 0.0000
Y1 0.3333 0.6667 0.6647
Y2 0.6667 0.3333 0.3353
O1 0.0000 0.0000 0.5000
O2 0.3333 0.6667 0.1936
O3 0.6667 0.3333 0.8064